1.
# CeSbMo | the Alexandria database | PBE-GGA | optimized geometry
# Raw formation energy   100 meV/atom
data_CeSbMo
_chemical_formula_sum 'Ce2 Sb2 Mo2'
_cell_length_a 3.7475
_cell_length_b 3.7475
_cell_length_c 10.5376
_cell_angle_alpha 90.00
_cell_angle_beta 90.00
_cell_angle_gamma 90.00
_space_group_name_H-M_alt 'P 4/n m m'
_space_group_IT_number 129
loop_
_space_group_symop_operation_xyz
'x,y,z'
'-x,-y,-z'
'-y+1/2,x,z'
'y+1/2,-x,-z'
'-x+1/2,-y+1/2,z'
'x+1/2,y+1/2,-z'
'y,-x+1/2,z'
'-y,x+1/2,-z'
'x+1/2,-y,-z'
'-x+1/2,y,z'
'-y,-x,-z'
'y,x,z'
'-x,y+1/2,-z'
'x,-y+1/2,z'
'y+1/2,x+1/2,-z'
'-y+1/2,-x+1/2,z'
loop_
_atom_site_label
_atom_site_type_symbol
_atom_site_fract_x
_atom_site_fract_y
_atom_site_fract_z
_atom_site_occupancy
Ce1 Ce 0.2500 0.2500 0.2435 1
Sb1 Sb 0.2500 0.2500 0.5827 1
Mo1 Mo 0.2500 0.7500 0.0000 1



2.
# ReHg2Sb | the Alexandria database | PBE-GGA | optimized geometry
# Raw formation energy   695 meV/atom
data_ReHg2Sb
_chemical_formula_sum 'Re4 Hg8 Sb4'
_cell_length_a 10.5366
_cell_length_b 10.5366
_cell_length_c 5.0620
_cell_angle_alpha 90.00
_cell_angle_beta 90.00
_cell_angle_gamma 90.00
_space_group_name_H-M_alt 'I -4 2 d'
_space_group_IT_number 122
_space_group_name_Hall 'I -4 2bw'
loop_
_atom_site_label
_atom_site_type_symbol
_atom_site_fract_x
_atom_site_fract_y
_atom_site_fract_z
_atom_site_occupancy
Re1 Re 0.0000 0.0000 0.0000 1
Hg1 Hg 0.0010 0.7500 0.1250 1
Sb1 Sb 0.0000 0.0000 0.5000 1



3.
# ZnPdPt5 | the Alexandria database | PBE-GGA | optimized geometry
# ΔE_f   1.8 eV/f.u.
data_ZnPdPt5
_chemical_formula_sum 'Zn2 Pd2 Pt10'
_cell_length_a 5.1249
_cell_length_b 6.9447
_cell_length_c 7.1579
_cell_angle_alpha 90.00
_cell_angle_beta 90.00
_cell_angle_gamma 90.00
_space_group_name_H-M_alt 'I m m 2'
_space_group_IT_number 44
loop_
_space_group_symop_operation_xyz
'x,y,z'
'-x,-y,z'
'-x,y,z'
'x,-y,z'
'x+1/2,y+1/2,z+1/2'
'-x+1/2,-y+1/2,z+1/2'
'-x+1/2,y+1/2,z+1/2'
'x+1/2,-y+1/2,z+1/2'
loop_
_atom_site_label
_atom_site_type_symbol
_atom_site_fract_x
_atom_site_fract_y
_atom_site_fract_z
_atom_site_occupancy
Zn1 Zn 0.0000 0.0000 0.0000 1
Pd1 Pd 0.0000 0.5000 0.8471 1
Pt1 Pt 0.0000 0.1826 0.3246 1
Pt2 Pt 0.0000 0.5000 0.5012 1
Pt3 Pt 0.2451 0.0000 0.6692 1



4.
# TlP | the Alexandria database | PBE-GGA | optimized geometry
# ΔE_f   0.8 eV/f.u.
data_TlP
_chemical_formula_sum 'Tl16 P16'
_cell_length_a 8.6643
_cell_length_b 11.5410
_cell_length_c 12.1915
_cell_angle_alpha 90.00
_cell_angle_beta 90.00
_cell_angle_gamma 90.00
_space_group_name_H-M_alt 'F d d d'
_space_group_IT_number 70
loop_
_space_group_symop_operation_xyz
'x,y,z'
'-x,-y,-z'
'-x+1/4,-y+1/4,z'
'x+1/4,y+1/4,-z'
'x,-y+1/4,-z+1/4'
'-x,y+1/4,z+1/4'
'-x+1/4,y,-z+1/4'
'x+1/4,-y,z+1/4'
'x,y+1/2,z+1/2'
'-x,-y+1/2,-z+1/2'
'-x+1/4,-y+3/4,z+1/2'
'x+1/4,y+3/4,-z+1/2'
'x,-y+3/4,-z+3/4'
'-x,y+3/4,z+3/4'
'-x+1/4,y+1/2,-z+3/4'
'x+1/4,-y+1/2,z+3/4'
'x+1/2,y,z+1/2'
'-x+1/2,-y,-z+1/2'
'-x+3/4,-y+1/4,z+1/2'
'x+3/4,y+1/4,-z+1/2'
'x+1/2,-y+1/4,-z+3/4'
'-x+1/2,y+1/4,z+3/4'
'-x+3/4,y,-z+3/4'
'x+3/4,-y,z+3/4'
'x+1/2,y+1/2,z'
'-x+1/2,-y+1/2,-z'
'-x+3/4,-y+3/4,z'
'x+3/4,y+3/4,-z'
'x+1/2,-y+3/4,-z+1/4'
'-x+1/2,y+3/4,z+1/4'
'-x+3/4,y+1/2,-z+1/4'
'x+3/4,-y+1/2,z+1/4'
loop_
_atom_site_label
_atom_site_type_symbol
_atom_site_fract_x
_atom_site_fract_y
_atom_site_fract_z
_atom_site_occupancy
Tl1 Tl 0.1250 0.2902 0.1250 1
P1 P 0.1250 0.1250 0.2848 1



5.
# HfSi2Pt8 | the Alexandria database | PBE-GGA | optimized geometry
# Raw formation energy   -587 meV/atom
data_HfSi2Pt8
_chemical_formula_sum 'Hf2 Si4 Pt16'
_cell_length_a 13.3459
_cell_length_b 4.0156
_cell_length_c 7.1386
_cell_angle_alpha 90.00
_cell_angle_beta 91.91
_cell_angle_gamma 90.00
_space_group_name_H-M_alt 'C 1 2/m 1'
_space_group_IT_number 12
loop_
_space_group_symop_operation_xyz
'x,y,z'
'-x,-y,-z'
'-x,y,-z'
'x,-y,z'
'x+1/2,y+1/2,z'
'-x+1/2,-y+1/2,-z'
'-x+1/2,y+1/2,-z'
'x+1/2,-y+1/2,z'
loop_
_atom_site_label
_atom_site_type_symbol
_atom_site_fract_x
_atom_site_fract_y
_atom_site_fract_z
_atom_site_occupancy
Hf1 Hf 0.0000 0.0000 0.0000 1
Si1 Si 0.2390 0.0000 0.7467 1
Pt1 Pt 0.0610 0.0000 0.6534 1
Pt2 Pt 0.0710 0.5000 0.2333 1
Pt3 Pt 0.1876 0.5000 0.5667 1
Pt4 Pt 0.1980 0.0000 0.0849 1



6.
# CrSBrCl2 | the Alexandria database | PBE-GGA | optimized geometry
# Excess energy over the best structure of this formula in the dataset   714 meV/atom
# Raw formation energy   691 meV/atom
data_CrSBrCl2
_chemical_formula_sum 'Cr1 S1 Br1 Cl2'
_cell_length_a 5.1565
_cell_length_b 5.1565
_cell_length_c 4.9567
_cell_angle_alpha 90.00
_cell_angle_beta 90.00
_cell_angle_gamma 90.00
_space_group_name_H-M_alt 'P 4/m m m'
_space_group_IT_number 123
_space_group_name_Hall '-P 4 2'
loop_
_atom_site_label
_atom_site_type_symbol
_atom_site_fract_x
_atom_site_fract_y
_atom_site_fract_z
_atom_site_occupancy
Cr1 Cr 0.0000 0.0000 0.0000 1
S1 S 0.5000 0.5000 0.0000 1
Br1 Br 0.5000 0.5000 0.5000 1
Cl1 Cl 0.0000 0.5000 0.5000 1



no.,electronic total energy (eV per atom),magnetization (μB/f.u.)
1,-6.8627,0.0
2,-3.5990,0.6
3,-4.9874,0.0
4,-3.4882,0.0
5,-6.8709,0.0
6,-3.1327,4.7